Here is crystalline PaCoNi2O6 at its relaxed geometry from Alexandria. Energies are from PBE+U.

Geometry as POSCAR:
```
PaCoNi2O6
1.0
-1.7186 -4.8641 -0.8265
2.9424 -4.0838 1.4008
-1.6270 -2.9881 4.4518
Co O Pa Ni
1 6 1 2
Direct
0.3235 0.3235 0.0295
0.2260 0.9396 0.2458
0.1292 0.4003 0.7692
0.7013 0.1293 0.7691
0.9396 0.5886 0.2459
0.4002 0.7013 0.7691
0.5886 0.2260 0.2458
0.8152 0.8153 0.5542
0.0166 0.0166 0.9503
0.5213 0.5212 0.4362
```

Computed properties:
- Final energy: -0.2488 Ha/atom
- Symmetry: R3